# 1
MgAs2AuF | GGA-PBE | relaxed

Its space group is P4/mmm, No. 123. The formation energy without anion corrections comes out at -0.445 eV/atom.

Lattice parameters (Å, degrees): 5.225 3.583 5.225 90.00 90.00 90.00
Positions (direct):
As  0.000  0.000  0.500
As  0.500  0.000  0.000
Au  0.500  0.500  0.500
Mg  0.000  0.000  0.000
F  0.000  0.500  0.000



# 2
KScSi2 | GGA-PBE | relaxed

The excess energy over the best structure of this formula in the dataset is 53.54 kJ/mol of atoms. Its space group is Fm-3m, No. 225. The formation energy without anion corrections comes out at 0.306 eV/atom.

Lattice parameters (Å, degrees): 4.975 4.975 4.975 60.00 60.00 60.00
Positions (direct):
Sc  0.500  0.500  0.500
K  0.000  0.000  0.000
Si  0.250  0.250  0.250
Si  0.750  0.750  0.750



# 3
HgRu2Pt | GGA-PBE | relaxed

Its space group is Cmmm, No. 65. As for the energy of formation: 479 meV per atom.

Lattice parameters (Å, degrees): 4.977 4.977 2.796 90.00 90.00 112.17
Site moments in Bohr magnetons follow the coordinates.
Positions (direct):
Hg  0.500  0.000  0.500  0.02
Pt  0.000  0.500  0.500  0.10
Ru  0.000  0.000  0.000  0.94
Ru  0.500  0.500  0.000  0.94



# 4
ScCoAs2Br | GGA-PBE | relaxed

The excess energy over the best structure of this formula in the dataset is 0.00 kJ/mol of atoms. Its space group is P4/mmm, No. 123. The formation energy without anion corrections comes out at 0.011 eV/atom.

Lattice parameters (Å, degrees): 4.539 4.539 5.070 90.00 90.00 90.00
Site moments in Bohr magnetons follow the coordinates.
Positions (direct):
Sc  0.500  0.500  0.500  0.14
As  0.000  0.500  0.000  0.03
As  0.500  0.000  0.000  0.03
Co  0.000  0.000  0.000  0.62
Br  0.000  0.000  0.500  0.03



Number 1: electronic total energy -3.653 eV per atom. Number 2: electronic total energy -4.263 eV per atom. Number 3: electronic total energy -5.745 eV per atom. Number 4: electronic total energy -4.871 eV per atom.